Rb2AgPbCl6: optimized geometry, PBE.

Structure (CIF):
```
data_Rb2AgPbCl6
_chemical_formula_sum 'Rb2 Ag1 Pb1 Cl6'
_cell_length_a 7.585
_cell_length_b 7.585
_cell_length_c 7.585
_cell_angle_alpha 59.92
_cell_angle_beta 59.92
_cell_angle_gamma 59.92
_space_group_name_H-M_alt 'P 1'
_space_group_IT_number 1
_space_group_name_Hall 'P 1'
loop_
_atom_site_label
_atom_site_type_symbol
_atom_site_fract_x
_atom_site_fract_y
_atom_site_fract_z
_atom_site_occupancy
Rb1 Rb 0.750 0.750 0.750 1
Rb2 Rb 0.250 0.250 0.250 1
Ag1 Ag 0.500 0.500 0.500 1
Cl1 Cl 0.745 0.257 0.254 1
Cl2 Cl 0.743 0.746 0.255 1
Cl3 Cl 0.257 0.254 0.745 1
Cl4 Cl 0.255 0.743 0.746 1
Cl5 Cl 0.254 0.745 0.257 1
Cl6 Cl 0.746 0.255 0.743 1
Pb1 Pb 0.000 0.000 0.000 1
```

Its final energy is -3.217 eV per atom. Its space group is R-3.

LiGaFeRe: optimized geometry, PBE.

Structure (CIF):
```
data_LiGaFeRe
_chemical_formula_sum 'Li1 Ga1 Fe1 Re1'
_cell_length_a 4.097
_cell_length_b 4.097
_cell_length_c 4.097
_cell_angle_alpha 60.00
_cell_angle_beta 60.00
_cell_angle_gamma 60.00
_space_group_name_H-M_alt 'P 1'
_space_group_IT_number 1
_space_group_name_Hall 'P 1'
loop_
_atom_site_label
_atom_site_type_symbol
_atom_site_fract_x
_atom_site_fract_y
_atom_site_fract_z
_atom_site_occupancy
Re1 Re 0.500 0.500 0.500 1
Li1 Li 0.250 0.250 0.250 1
Fe1 Fe 0.750 0.750 0.750 1
Ga1 Ga 0.000 0.000 0.000 1
```

Its final energy is -6.392 eV per atom. Its space group is F-43m.

NaNdTe3Au: optimized geometry, PBE.

Structure (CIF):
```
data_NaNdTe3Au
_chemical_formula_sum 'Na2 Nd2 Te6 Au2'
_cell_length_a 7.912
_cell_length_b 7.912
_cell_length_c 11.394
_cell_angle_alpha 90.00
_cell_angle_beta 90.00
_cell_angle_gamma 148.72
_space_group_name_H-M_alt 'P 1'
_space_group_IT_number 1
_space_group_name_Hall 'P 1'
loop_
_atom_site_label
_atom_site_type_symbol
_atom_site_fract_x
_atom_site_fract_y
_atom_site_fract_z
_atom_site_occupancy
Te1 Te 0.094 0.906 0.250 1
Te2 Te 0.906 0.094 0.750 1
Te3 Te 0.354 0.646 0.434 1
Te4 Te 0.646 0.354 0.934 1
Te5 Te 0.354 0.646 0.066 1
Te6 Te 0.646 0.354 0.566 1
Au1 Au 0.527 0.473 0.750 1
Au2 Au 0.473 0.527 0.250 1
Nd1 Nd 0.000 0.000 0.000 1
Nd2 Nd 0.000 0.000 0.500 1
Na1 Na 0.230 0.770 0.750 1
Na2 Na 0.770 0.230 0.250 1
```

Its final energy is -3.981 eV per atom. Its space group is Cmcm.

Gd2TmSe3: optimized geometry, PBE.

Structure (CIF):
```
data_Gd2TmSe3
_chemical_formula_sum 'Gd2 Tm1 Se3'
_cell_length_a 4.064
_cell_length_b 4.064
_cell_length_c 10.038
_cell_angle_alpha 90.00
_cell_angle_beta 90.00
_cell_angle_gamma 120.00
_space_group_name_H-M_alt 'P 1'
_space_group_IT_number 1
_space_group_name_Hall 'P 1'
loop_
_atom_site_label
_atom_site_type_symbol
_atom_site_fract_x
_atom_site_fract_y
_atom_site_fract_z
_atom_site_occupancy
Se1 Se 0.667 0.333 0.341 1
Se2 Se 0.333 0.667 0.659 1
Se3 Se 0.000 0.000 0.000 1
Gd1 Gd 0.333 0.667 0.168 1
Gd2 Gd 0.667 0.333 0.832 1
Tm1 Tm 0.000 0.000 0.500 1
```

Its final energy is -5.790 eV per atom. Its space group is P-3m1.

CoBi: optimized geometry, PBE.

Structure (CIF):
```
data_CoBi
_chemical_formula_sum 'Co1 Bi1'
_cell_length_a 3.597
_cell_length_b 3.597
_cell_length_c 3.435
_cell_angle_alpha 90.00
_cell_angle_beta 90.00
_cell_angle_gamma 120.00
_space_group_name_H-M_alt 'P 1'
_space_group_IT_number 1
_space_group_name_Hall 'P 1'
loop_
_atom_site_label
_atom_site_type_symbol
_atom_site_fract_x
_atom_site_fract_y
_atom_site_fract_z
_atom_site_occupancy
Bi1 Bi 0.667 0.333 0.750 1
Co1 Co 0.333 0.667 0.250 1
```

Its final energy is -5.041 eV per atom. Its space group is P-6m2.

LiGa2Ir: optimized geometry, PBE.

Structure (CIF):
```
data_LiGa2Ir
_chemical_formula_sum 'Li6 Ga12 Ir6'
_cell_length_a 4.310
_cell_length_b 6.061
_cell_length_c 12.912
_cell_angle_alpha 90.00
_cell_angle_beta 90.00
_cell_angle_gamma 90.00
_space_group_name_H-M_alt 'P 1'
_space_group_IT_number 1
_space_group_name_Hall 'P 1'
loop_
_atom_site_label
_atom_site_type_symbol
_atom_site_fract_x
_atom_site_fract_y
_atom_site_fract_z
_atom_site_occupancy
Ga1 Ga 0.500 0.750 0.667 1
Ga2 Ga 0.500 0.750 0.000 1
Ga3 Ga 0.000 0.750 0.500 1
Ga4 Ga 0.500 0.250 0.333 1
Ga5 Ga 0.500 0.250 0.667 1
Ga6 Ga 0.000 0.250 0.500 1
Ga7 Ga 0.500 0.250 0.000 1
Ga8 Ga 0.000 0.750 0.167 1
Ga9 Ga 0.000 0.750 0.833 1
Ga10 Ga 0.500 0.750 0.333 1
Ga11 Ga 0.000 0.250 0.833 1
Ga12 Ga 0.000 0.250 0.167 1
Ir1 Ir 0.500 0.500 0.833 1
Ir2 Ir 0.500 0.500 0.500 1
Ir3 Ir 0.000 0.000 0.333 1
Ir4 Ir 0.000 0.000 0.000 1
Ir5 Ir 0.500 0.500 0.167 1
Ir6 Ir 0.000 0.000 0.667 1
Li1 Li 0.500 0.000 0.167 1
Li2 Li 0.000 0.500 0.333 1
Li3 Li 0.500 0.000 0.833 1
Li4 Li 0.000 0.500 0.667 1
Li5 Li 0.500 0.000 0.500 1
Li6 Li 0.000 0.500 0.000 1
```

Its final energy is -4.702 eV per atom. Its space group is I4/mmm.

SrGdGa: optimized geometry, PBE.

Structure (CIF):
```
data_SrGdGa
_chemical_formula_sum 'Sr1 Gd1 Ga1'
_cell_length_a 5.244
_cell_length_b 5.244
_cell_length_c 5.244
_cell_angle_alpha 60.00
_cell_angle_beta 60.00
_cell_angle_gamma 60.00
_space_group_name_H-M_alt 'P 1'
_space_group_IT_number 1
_space_group_name_Hall 'P 1'
loop_
_atom_site_label
_atom_site_type_symbol
_atom_site_fract_x
_atom_site_fract_y
_atom_site_fract_z
_atom_site_occupancy
Sr1 Sr 0.750 0.750 0.750 1
Gd1 Gd 0.250 0.250 0.250 1
Ga1 Ga 0.000 0.000 0.000 1
```

Its final energy is -3.241 eV per atom. Its space group is F-43m.

BaCdBi: optimized geometry, PBE.

Structure (CIF):
```
data_BaCdBi
_chemical_formula_sum 'Ba1 Cd1 Bi1'
_cell_length_a 5.437
_cell_length_b 5.437
_cell_length_c 5.437
_cell_angle_alpha 60.00
_cell_angle_beta 60.00
_cell_angle_gamma 60.00
_space_group_name_H-M_alt 'P 1'
_space_group_IT_number 1
_space_group_name_Hall 'P 1'
loop_
_atom_site_label
_atom_site_type_symbol
_atom_site_fract_x
_atom_site_fract_y
_atom_site_fract_z
_atom_site_occupancy
Ba1 Ba 0.500 0.500 0.500 1
Cd1 Cd 0.250 0.250 0.250 1
Bi1 Bi 0.000 0.000 0.000 1
```

Its final energy is -2.740 eV per atom. Its space group is F-43m.

KLiTcS3: optimized geometry, PBE.

Structure (CIF):
```
data_KLiTcS3
_chemical_formula_sum 'K4 Li4 Tc4 S12'
_cell_length_a 13.612
_cell_length_b 3.438
_cell_length_c 9.902
_cell_angle_alpha 90.00
_cell_angle_beta 90.00
_cell_angle_gamma 90.00
_space_group_name_H-M_alt 'P 1'
_space_group_IT_number 1
_space_group_name_Hall 'P 1'
loop_
_atom_site_label
_atom_site_type_symbol
_atom_site_fract_x
_atom_site_fract_y
_atom_site_fract_z
_atom_site_occupancy
Li1 Li 0.808 0.250 0.710 1
Li2 Li 0.692 0.750 0.210 1
Li3 Li 0.192 0.750 0.290 1
Li4 Li 0.308 0.250 0.790 1
K1 K 0.139 0.250 0.006 1
K2 K 0.639 0.250 0.494 1
K3 K 0.861 0.750 0.994 1
K4 K 0.361 0.750 0.506 1
S1 S 0.190 0.750 0.748 1
S2 S 0.478 0.250 0.730 1
S3 S 0.022 0.750 0.230 1
S4 S 0.621 0.250 0.012 1
S5 S 0.310 0.250 0.248 1
S6 S 0.522 0.750 0.270 1
S7 S 0.690 0.750 0.752 1
S8 S 0.978 0.250 0.770 1
S9 S 0.379 0.750 0.988 1
S10 S 0.121 0.250 0.488 1
S11 S 0.879 0.750 0.512 1
S12 S 0.810 0.250 0.252 1
Tc1 Tc 0.465 0.250 0.107 1
Tc2 Tc 0.035 0.750 0.607 1
Tc3 Tc 0.965 0.250 0.393 1
Tc4 Tc 0.535 0.750 0.893 1
```

Its final energy is -5.045 eV per atom. Its space group is Pnma.

MgScPdPt: optimized geometry, PBE.

Structure (CIF):
```
data_MgScPdPt
_chemical_formula_sum 'Mg1 Sc1 Pd1 Pt1'
_cell_length_a 4.581
_cell_length_b 4.581
_cell_length_c 4.581
_cell_angle_alpha 60.00
_cell_angle_beta 60.00
_cell_angle_gamma 60.00
_space_group_name_H-M_alt 'P 1'
_space_group_IT_number 1
_space_group_name_Hall 'P 1'
loop_
_atom_site_label
_atom_site_type_symbol
_atom_site_fract_x
_atom_site_fract_y
_atom_site_fract_z
_atom_site_occupancy
Sc1 Sc 0.250 0.250 0.250 1
Pt1 Pt 0.000 0.000 0.000 1
Mg1 Mg 0.750 0.750 0.750 1
Pd1 Pd 0.500 0.500 0.500 1
```

Its final energy is -5.763 eV per atom. Its space group is F-43m.

NaSmHo: optimized geometry, PBE.

Structure (CIF):
```
data_NaSmHo
_chemical_formula_sum 'Na1 Sm1 Ho1'
_cell_length_a 5.331
_cell_length_b 5.331
_cell_length_c 5.331
_cell_angle_alpha 60.00
_cell_angle_beta 60.00
_cell_angle_gamma 60.00
_space_group_name_H-M_alt 'P 1'
_space_group_IT_number 1
_space_group_name_Hall 'P 1'
loop_
_atom_site_label
_atom_site_type_symbol
_atom_site_fract_x
_atom_site_fract_y
_atom_site_fract_z
_atom_site_occupancy
Na1 Na 0.000 0.000 0.000 1
Ho1 Ho 0.250 0.250 0.250 1
Sm1 Sm 0.750 0.750 0.750 1
```

Its final energy is -2.728 eV per atom. Its space group is F-43m.

BeRePb: optimized geometry, PBE.

Structure (CIF):
```
data_BeRePb
_chemical_formula_sum 'Be1 Re1 Pb1'
_cell_length_a 4.143
_cell_length_b 4.143
_cell_length_c 4.143
_cell_angle_alpha 60.00
_cell_angle_beta 60.00
_cell_angle_gamma 60.00
_space_group_name_H-M_alt 'P 1'
_space_group_IT_number 1
_space_group_name_Hall 'P 1'
loop_
_atom_site_label
_atom_site_type_symbol
_atom_site_fract_x
_atom_site_fract_y
_atom_site_fract_z
_atom_site_occupancy
Re1 Re 0.750 0.750 0.750 1
Be1 Be 0.000 0.000 0.000 1
Pb1 Pb 0.250 0.250 0.250 1
```

Its final energy is -5.595 eV per atom. Its space group is F-43m.